Below is a geometry-optimized HfBRu3 structure, with properties calculated at the PBE-GGA level.

- Uncorrected energy: -9.266 eV/atom

Lattice parameters (Å, degrees): 6.1179 5.4445 4.8721 89.67 63.38 106.08
Atoms (fractional coordinates):
Hf 0.9633 0.1538 0.7650
Hf 0.5973 0.4509 0.7088
B 0.7977 0.4712 0.1246
B 0.7629 0.1335 0.3491
Ru 0.0864 0.6990 0.6958
Ru 0.0046 0.8811 0.2468
Ru 0.4742 0.9058 0.7779
Ru 0.1216 0.4371 0.1954
Ru 0.5560 0.7237 0.2269
Ru 0.4390 0.1677 0.2783


Below is a geometry-optimized HfBRu3 structure, with properties calculated at the PBE-GGA level.

- Uncorrected energy: -9.308 eV/atom

Lattice parameters (Å, degrees): 4.8647 5.7421 5.7421 120.00 90.00 90.00
Atoms (fractional coordinates):
Hf 0.2500 0.3334 0.6666
Hf 0.7500 0.6666 0.3334
Ru 0.7500 0.1709 0.8291
Ru 0.2500 0.8291 0.1709
Ru 0.2500 0.3417 0.1708
Ru 0.7500 0.1708 0.3417
Ru 0.2500 0.8292 0.6583
Ru 0.7500 0.6583 0.8292
B 0.0000 0.0000 0.0000
B 0.5000 0.0000 0.0000


Below is a geometry-optimized Hf3BRu structure, with properties calculated at the PBE-GGA level.

- Energy above the lowest structure with this stoichiometry: 1183 meV/atom

Lattice parameters (Å, degrees): 4.8972 4.8972 4.8972 90.00 90.00 90.00
Atoms (fractional coordinates):
Hf 0.0000 0.0000 0.5000
Hf 0.0000 0.5000 0.0000
Hf 0.5000 0.0000 0.0000
B 0.5000 0.5000 0.5000
Ru 0.0000 0.0000 0.0000


Below is a geometry-optimized HfBRu3 structure, with properties calculated at the PBE-GGA level.

- Uncorrected energy: -8.857 eV/atom

Lattice parameters (Å, degrees): 7.6725 7.6725 7.6725 60.00 60.00 60.00
Atoms (fractional coordinates):
Hf 0.6250 0.1250 0.6250
Hf 0.6250 0.6250 0.1250
Hf 0.6250 0.6250 0.6250
Hf 0.1250 0.6250 0.6250
Ru 0.1942 0.1942 0.8058
Ru 0.0558 0.4442 0.0558
Ru 0.0558 0.4442 0.4442
Ru 0.1942 0.8058 0.1942
Ru 0.8058 0.8058 0.1942
Ru 0.1942 0.8058 0.8058
Ru 0.4442 0.0558 0.4442
Ru 0.8058 0.1942 0.8058
Ru 0.4442 0.0558 0.0558
Ru 0.0558 0.0558 0.4442
Ru 0.4442 0.4442 0.0558
Ru 0.8058 0.1942 0.1942
B 0.1250 0.1250 0.6250
B 0.1250 0.1250 0.1250
B 0.1250 0.6250 0.1250
B 0.6250 0.1250 0.1250


Below is a geometry-optimized HfBRu3 structure, with properties calculated at the PBE-GGA level.

- Uncorrected energy: -7.867 eV/atom

Lattice parameters (Å, degrees): 9.2826 9.2826 4.5229 90.00 90.00 139.33
Atoms (fractional coordinates):
Ru 0.5488 0.0720 0.2500
Ru 0.0000 0.0000 0.0000
Ru 0.9280 0.4512 0.2500
Ru 0.0720 0.5488 0.7500
Ru 0.4512 0.9280 0.7500
Ru 0.0000 0.0000 0.5000
B 0.2766 0.7234 0.2500
B 0.7234 0.2766 0.7500
Hf 0.8621 0.1379 0.7500
Hf 0.1379 0.8621 0.2500


Below is a geometry-optimized HfBRu3 structure, with properties calculated at the PBE-GGA level.

- Uncorrected energy: -8.751 eV/atom

Lattice parameters (Å, degrees): 4.8251 4.8251 7.7127 71.77 71.77 90.00
Atoms (fractional coordinates):
Ru 0.1124 0.8684 0.2632
Ru 0.6817 0.6817 0.6367
Ru 0.6244 0.8684 0.2632
Ru 0.1316 0.3756 0.7368
Ru 0.3183 0.3183 0.3633
Ru 0.1316 0.8876 0.7368
Hf 0.9405 0.4405 0.1190
Hf 0.5595 0.0595 0.8810
B 0.2500 0.7500 0.5000
B 0.0000 0.0000 0.0000